# 1
The following is a GGA-PBE calculation of a geometry-optimized AcCd2Hg4 structure, from Alexandria.

abc: 5.178 5.178 8.924
angles: 73.13 73.13 60.00
Element x y z (fractional)
Ac  0.000  0.000  0.000
Cd  0.254  0.254  0.239
Cd  0.746  0.746  0.761
Hg  0.136  0.136  0.592
Hg  0.396  0.396  0.812
Hg  0.604  0.604  0.188
Hg  0.864  0.864  0.408

Results
The value obtained for the uncorrected energy is -1.239 eV per atom. The value obtained for the energy above the most stable polymorph in this dataset is 0.0043 eV/atom. The calculated formation energy comes out at -0.218 eV per atom.


# 2
The following is a GGA-PBE calculation of a geometry-optimized AcCdHg2 structure, from Alexandria.

abc: 4.411 5.151 5.151
angles: 90.00 90.00 90.00
Element x y z (fractional)
Hg  0.000  0.000  0.500
Hg  0.000  0.500  0.000
Ac  0.500  0.500  0.500
Cd  0.500  0.000  0.000

Results
The value obtained for the uncorrected energy is -1.708 eV per atom. The value obtained for the energy above the most stable polymorph in this dataset is 0.1164 eV/atom. The calculated formation energy comes out at -0.302 eV per atom.


# 3
The following is a GGA-PBE calculation of a geometry-optimized Ac3Cd2Hg structure, from Alexandria.

abc: 4.069 4.069 12.196
angles: 90.00 90.00 90.00
Site moments in Bohr magnetons follow the coordinates.
Element x y z (fractional)
Cd  0.500  0.500  0.166  0.01
Cd  0.500  0.500  0.834  0.01
Ac  0.000  0.000  0.665  0.07
Ac  0.000  0.000  0.335  0.07
Ac  0.000  0.000  0.000  0.03
Hg  0.500  0.500  0.500  0.01

Results
The value obtained for the uncorrected energy is -2.762 eV per atom. The calculated formation energy comes out at -0.352 eV per atom.


# 4
The following is a GGA-PBE calculation of a geometry-optimized Ac2CdHg2 structure, from Alexandria.

abc: 5.890 11.314 15.272
angles: 19.10 78.88 74.91
Element x y z (fractional)
Hg  0.046  0.575  0.834
Hg  0.954  0.425  0.166
Hg  0.545  0.075  0.334
Hg  0.455  0.925  0.666
Ac  0.142  0.688  0.528
Ac  0.358  0.812  0.972
Ac  0.858  0.312  0.472
Ac  0.642  0.188  0.028
Cd  0.250  0.750  0.250
Cd  0.750  0.250  0.750

Results
The value obtained for the uncorrected energy is -2.319 eV per atom. The value obtained for the energy above the most stable polymorph in this dataset is 0.0291 eV/atom. The calculated formation energy comes out at -0.372 eV per atom.